Record 1
{
  "formula": "Sc3Ni6Ge5",
  "functional": "GGA-PBE",
  "state": "relaxed",
  "lattice": [[3.894, 0.000, 0.000], [0.000, 12.013, 0.000], [0.000, 0.000, 8.818]],
  "species": ["Sc", "Sc", "Sc", "Sc", "Sc", "Sc", "Ni", "Ni", "Ni", "Ni", "Ni", "Ni", "Ni", "Ni", "Ni", "Ni", "Ni", "Ni", "Ge", "Ge", "Ge", "Ge", "Ge", "Ge", "Ge", "Ge", "Ge", "Ge"],
  "frac_coords": [[0.250, 0.074, 0.240], [0.250, 0.426, 0.240], [0.250, 0.750, 0.250], [0.750, 0.250, 0.750], [0.750, 0.574, 0.760], [0.750, 0.926, 0.760], [0.250, 0.059, 0.584], [0.250, 0.250, 0.005], [0.250, 0.250, 0.484], [0.250, 0.441, 0.584], [0.250, 0.584, 0.999], [0.250, 0.916, 0.999], [0.750, 0.084, 0.001], [0.750, 0.416, 0.001], [0.750, 0.559, 0.416], [0.750, 0.750, 0.516], [0.750, 0.750, 0.995], [0.750, 0.941, 0.416], [0.250, 0.086, 0.849], [0.250, 0.414, 0.849], [0.250, 0.633, 0.535], [0.250, 0.750, 0.832], [0.250, 0.867, 0.535], [0.750, 0.133, 0.465], [0.750, 0.250, 0.168], [0.750, 0.367, 0.465], [0.750, 0.586, 0.151], [0.750, 0.914, 0.151]],
  "formation_enthalpy_0k_kj_per_mol_atoms": -61.90
}

***

Record 2
{
  "formula": "Li2Ge3Pt4",
  "functional": "GGA-PBE",
  "state": "relaxed",
  "lattice": [[2.888, -7.379, 0.000], [2.888, 7.379, 0.000], [0.000, 0.000, 7.106]],
  "species": ["Li", "Li", "Li", "Li", "Ge", "Ge", "Ge", "Ge", "Ge", "Ge", "Pt", "Pt", "Pt", "Pt", "Pt", "Pt", "Pt", "Pt"],
  "frac_coords": [[0.091, 0.909, 0.905], [0.409, 0.591, 0.405], [0.591, 0.409, 0.595], [0.909, 0.091, 0.095], [0.000, 0.000, 0.500], [0.011, 0.489, 0.750], [0.489, 0.011, 0.250], [0.500, 0.500, 0.000], [0.511, 0.989, 0.750], [0.989, 0.511, 0.250], [0.175, 0.825, 0.532], [0.182, 0.318, 0.750], [0.318, 0.182, 0.250], [0.325, 0.675, 0.032], [0.675, 0.325, 0.968], [0.682, 0.818, 0.750], [0.818, 0.682, 0.250], [0.825, 0.175, 0.468]],
  "formation_enthalpy_0k_kj_per_mol_atoms": -53.56
}

***

Record 3
{
  "formula": "MnAlTc2",
  "functional": "GGA-PBE",
  "state": "relaxed",
  "lattice": [[2.953, 0.000, 0.000], [0.000, 2.953, 0.000], [0.000, 0.000, 6.163]],
  "species": ["Mn", "Al", "Tc", "Tc"],
  "frac_coords": [[0.000, 0.000, 0.000], [0.500, 0.500, 0.757], [0.000, 0.000, 0.497], [0.500, 0.500, 0.222]],
  "formation_enthalpy_0k_kj_per_mol_atoms": -14.47
}